P:
# BaZr3In PBE-GGA relaxed
data_BaZr3In
_chemical_formula_sum 'Ba1 Zr3 In1'
_symmetry_space_group_name_H-M 'P 1'
_symmetry_Int_Tables_number 1
_cell_length_a 5.5139
_cell_length_b 5.5139
_cell_length_c 5.5139
_cell_angle_alpha 90.00
_cell_angle_beta 90.00
_cell_angle_gamma 90.00
loop_
_symmetry_equiv_pos_as_xyz
'x,y,z'
loop_
_atom_site_label
_atom_site_fract_x
_atom_site_fract_y
_atom_site_fract_z
Zr1 0.5000 0.0000 0.0000
Zr2 0.0000 0.5000 0.0000
Ba1 0.5000 0.5000 0.5000
Zr3 0.0000 0.0000 0.5000
In1 0.0000 0.0000 0.0000
# Crystal system: cubic

Q:
# BaZr3In PBE-GGA relaxed
data_BaZr3In
_chemical_formula_sum 'Ba1 Zr3 In1'
_symmetry_space_group_name_H-M 'P 1'
_symmetry_Int_Tables_number 1
_cell_length_a 5.2929
_cell_length_b 5.2929
_cell_length_c 5.2929
_cell_angle_alpha 90.00
_cell_angle_beta 90.00
_cell_angle_gamma 90.00
loop_
_symmetry_equiv_pos_as_xyz
'x,y,z'
loop_
_atom_site_label
_atom_site_fract_x
_atom_site_fract_y
_atom_site_fract_z
Zr1 0.0000 0.0000 0.5000
Zr2 0.0000 0.5000 0.0000
In1 0.5000 0.5000 0.5000
Ba1 0.0000 0.0000 0.0000
Zr3 0.5000 0.0000 0.0000
# Crystal system: cubic

P takes first place; second place is 68.4 kJ/mol of atoms up.

P:
# K2BaIr2 PBE-GGA relaxed
data_K2BaIr2
_chemical_formula_sum 'K4 Ba2 Ir4'
_symmetry_space_group_name_H-M 'P 1'
_symmetry_Int_Tables_number 1
_cell_length_a 9.5267
_cell_length_b 9.5267
_cell_length_c 2.9139
_cell_angle_alpha 90.00
_cell_angle_beta 90.00
_cell_angle_gamma 90.00
loop_
_symmetry_equiv_pos_as_xyz
'x,y,z'
loop_
_atom_site_label
_atom_site_fract_x
_atom_site_fract_y
_atom_site_fract_z
Ba1 0.0000 0.0000 0.0000
Ba2 0.5000 0.5000 0.0000
Ir1 0.8113 0.3113 0.5000
Ir2 0.3113 0.1887 0.5000
K1 0.8888 0.6112 0.0000
Ir3 0.1887 0.6887 0.5000
Ir4 0.6887 0.8113 0.5000
K2 0.6112 0.1112 0.0000
K3 0.3888 0.8888 0.0000
K4 0.1112 0.3888 0.0000
# Crystal system: tetragonal

Q:
# K2BaIr2 PBE-GGA relaxed
data_K2BaIr2
_chemical_formula_sum 'K2 Ba1 Ir2'
_symmetry_space_group_name_H-M 'P 1'
_symmetry_Int_Tables_number 1
_cell_length_a 5.3594
_cell_length_b 5.3594
_cell_length_c 6.4457
_cell_angle_alpha 65.43
_cell_angle_beta 65.43
_cell_angle_gamma 90.00
loop_
_symmetry_equiv_pos_as_xyz
'x,y,z'
loop_
_atom_site_label
_atom_site_fract_x
_atom_site_fract_y
_atom_site_fract_z
Ir1 0.7500 0.2500 0.5000
Ba1 0.0000 0.0000 0.0000
Ir2 0.2500 0.7500 0.5000
K1 0.6332 0.6332 0.7337
K2 0.3668 0.3668 0.2663
# Crystal system: tetragonal

P takes first place; second place is 25.1 kJ/mol of atoms up.